Entry from the Alexandria database: an optimized crystal structure of Ba3Mg3Hg8 (GGA-PBE).

Summary:
E	-18.45	eV per formula unit
energy relative to the elements	-0.39	eV per atom

Lattice parameters (Å, degrees): 5.141 9.542 9.542 65.39 74.37 74.37
Fractional positions:
Ba 0.500 0.500 0.500
Ba 0.213 0.787 0.787
Ba 0.787 0.213 0.213
Mg 0.000 0.819 0.181
Mg 0.500 0.000 0.000
Mg 0.000 0.181 0.819
Hg 0.371 0.927 0.332
Hg 0.629 0.073 0.668
Hg 0.156 0.491 0.197
Hg 0.156 0.197 0.491
Hg 0.844 0.509 0.803
Hg 0.629 0.668 0.073
Hg 0.844 0.803 0.509
Hg 0.371 0.332 0.927